[1]
# Sr2LaTc

A relaxed structure of Sr2LaTc (PBE, Alexandria).

Results
total energy = -3.92 eV/atom
energy of formation from the pure elements = 0.7463 eV/atom
crystal system = monoclinic
density of states at the Fermi level = 5.5 states/eV per cell
density = 5.38 g/cm³
distance to the lowest polymorph of the same formula = 41.48 kJ per mole of atoms
magnetic moment = 0.53 μB/f.u.
symmetry = P2/m (10)

Lattice parameters (Å, degrees): 5.3869 3.8666 6.4822 70.29 90.00 90.00
Element x y z (fractional)
La  0.5000  0.7500  0.7500
Sr  0.0000  0.0945  0.0304
Sr  0.0000  0.4055  0.4696
Tc  0.5000  0.2500  0.2500

=====

[2]
# KZrBi3

A relaxed structure of KZrBi3 (PBE, Alexandria).

Results
total energy = -4.36 eV/atom
energy of formation from the pure elements = -0.1056 eV/atom
crystal system = cubic
density of states at the Fermi level = 5.6 states/eV per cell
density = 6.57 g/cm³
magnetic moment = 0.00 μB/f.u.
symmetry = Pm-3m (221)

Lattice parameters (Å, degrees): 5.7626 5.7626 5.7626 90.00 90.00 90.00
Element x y z (fractional)
K  0.5000  0.5000  0.5000
Bi  0.0000  0.5000  0.0000
Bi  0.0000  0.0000  0.5000
Bi  0.5000  0.0000  0.0000
Zr  0.0000  0.0000  0.0000

=====

[3]
# HoZnNiRh

A relaxed structure of HoZnNiRh (PBE, Alexandria).

Results
total energy = -5.23 eV/atom
energy of formation from the pure elements = -0.4861 eV/atom
crystal system = cubic
density of states at the Fermi level = 1.9 states/eV per cell
density = 10.06 g/cm³
magnetic moment = 0.00 μB/f.u.
symmetry = F-43m (216)

Lattice parameters (Å, degrees): 4.5054 4.5054 4.5054 60.00 60.00 60.00
Element x y z (fractional)
Ni  0.2500  0.2500  0.2500
Zn  0.0000  0.0000  0.0000
Rh  0.7500  0.7500  0.7500
Ho  0.5000  0.5000  0.5000

=====

[4]
# Er4TmSc3S8

A relaxed structure of Er4TmSc3S8 (PBE, Alexandria).

Results
total energy = -6.58 eV/atom
crystal system = trigonal
density of states at the Fermi level = 10.4 states/eV per cell
density = 6.57 g/cm³
ΔE_f (raw) = -1909 meV/atom
magnetic moment = 0.00 μB/f.u.
symmetry = R-3m (166)

Lattice parameters (Å, degrees): 7.6055 7.5987 7.6059 120.04 120.00 90.00
Element x y z (fractional)
Er  0.5000  0.0000  0.0000
Er  0.5000  0.0000  0.5000
Er  0.0000  0.0000  0.0000
Er  0.0000  0.0000  0.5000
Tm  0.0000  0.5000  0.0000
Sc  0.5000  0.5000  0.0000
Sc  0.5000  0.5000  0.5000
Sc  0.0000  0.5000  0.5000
S  0.2493  0.7411  0.9918
S  0.2493  0.7411  0.4986
S  0.2541  0.2622  0.5082
S  0.7425  0.7411  0.9918
S  0.2575  0.2589  0.0082
S  0.7459  0.7378  0.4918
S  0.7507  0.2589  0.5014
S  0.7507  0.2589  0.0082